[1]
A plane-wave DFT calculation with PBE was carried out for an optimized crystal structure of NaCaP.

Cell lengths 4.019, 4.019, 8.528 Å; angles 90.00, 90.00, 90.00 degrees
Space group I4mm (No. 107)
One atom of each set of equivalent atoms:
Na1 0.000 0.000 0.000 [2 per cell]
Ca1 0.000 0.000 0.687 [2 per cell]
P1 0.000 0.000 0.328 [2 per cell]

Calculated values
E_tot = -3.4130 eV/atom
Crystal system = tetragonal
Magnetic moment = 0.00 μB/f.u.
ΔH_f (0 K) = -503 meV per atom

[2]
A plane-wave DFT calculation with PBE was carried out for an optimized crystal structure of Ba3YIr2O9.

Cell lengths 5.9372, 5.9372, 14.8963 Å; angles 90.00, 90.00, 120.00 degrees
Space group P6_3mc (No. 186)
One atom of each set of equivalent atoms:
Ba1 0.0000 0.0000 0.0000 [2 per cell]
Ba2 0.3333 0.6667 0.1449 [2 per cell]
Ba3 0.3333 0.6667 0.8177 [2 per cell]
Y1 0.3333 0.6667 0.3966 [2 per cell]
Ir1 0.0000 0.0000 0.2410 [2 per cell]
Ir2 0.3333 0.6667 0.5906 [2 per cell]
O1 0.0246 0.5123 0.5089 [6 per cell]
O2 0.1540 0.3080 0.3201 [6 per cell]
O3 0.1660 0.3321 0.6659 [6 per cell]

Calculated values
Energy above the lowest structure with this stoichiometry = 76 meV/atom
E_tot = -7.0005 eV/atom
DOS(E_F) = 7.7 states/eV per cell
Energy relative to the elements, uncorrected = -2.029 eV/atom
Crystal system = hexagonal
Magnetic moment = 3.08 μB/f.u.

[3]
A plane-wave DFT calculation with PBE was carried out for an optimized crystal structure of NaTlIrO3.

Cell lengths 5.730, 10.646, 6.202 Å; angles 90.00, 90.00, 90.00 degrees
Space group Cmcm (No. 63)
One atom of each set of equivalent atoms:
Na1 0.000 0.085 0.250 [4 per cell]
Tl1 0.000 0.232 0.750 [4 per cell]
Ir1 0.000 0.482 0.250 [4 per cell]
O1 0.000 0.301 0.250 [4 per cell]
O2 0.219 0.500 0.000 [8 per cell]

Calculated values
E_tot = -5.3085 eV/atom
DOS(E_F) = 18.5 states/eV per cell
Energy relative to the elements, uncorrected = -0.738 eV/atom
Crystal system = orthorhombic
Magnetic moment = 0.00 μB/f.u.

[4]
A plane-wave DFT calculation with PBE was carried out for an optimized crystal structure of Tl2ReTe.

Cell lengths 3.589, 4.662, 12.700 Å; angles 90.00, 90.00, 90.00 degrees
Space group Cmmm (No. 65)
One atom of each set of equivalent atoms:
Tl1 0.000 0.000 0.199 [4 per cell]
Re1 0.000 0.500 0.000 [2 per cell]
Te1 0.000 0.500 0.500 [2 per cell]

Calculated values
Energy above the lowest structure with this stoichiometry = 405 meV/atom
E_tot = -4.2684 eV/atom
DOS(E_F) = 6.3 states/eV per cell
Energy relative to the elements, uncorrected = 0.812 eV/atom
Crystal system = orthorhombic
Magnetic moment = 0.00 μB/f.u.